A plane-wave DFT calculation with GGA-PBE was carried out for an optimized crystal structure of VB2BrCl.

Output
magnetic moment = 0.03 μB per formula unit
symmetry = P4/mmm (123)
formation energy (no corrections) = 2118 meV per atom
D(E_F) = 5.90 states/eV per cell
calculated total energy = -15.40 eV for the cell shown
crystal system = tetragonal

Structure (extended XYZ):
```
5
Lattice="4.2325 0.0000 0.0000 0.0000 4.2325 0.0000 0.0000 0.0000 4.9167" Properties=species:S:1:pos:R:3 pbc="T T T"
V 0.0000 0.0000 0.0000
B 0.0000 2.1162 2.4584
B 2.1162 0.0000 2.4584
Br 0.0000 0.0000 2.4584
Cl 2.1162 2.1162 0.0000
```



A plane-wave DFT calculation with GGA-PBE was carried out for an optimized crystal structure of CoB3Br.

Output
magnetic moment = 1.81 μB per formula unit
symmetry = Pm-3m (221)
formation energy (no corrections) = 2796 meV per atom
D(E_F) = 6.44 states/eV per cell
calculated total energy = -14.83 eV for the cell shown
crystal system = cubic

Structure (extended XYZ):
```
5
Lattice="4.0670 0.0000 0.0000 0.0000 4.0670 0.0000 0.0000 0.0000 4.0670" Properties=species:S:1:pos:R:3 pbc="T T T"
Co 0.0000 0.0000 0.0000
B 0.0000 2.0335 2.0335
B 2.0335 0.0000 2.0335
B 2.0335 2.0335 0.0000
Br 2.0335 2.0335 2.0335
```



A plane-wave DFT calculation with GGA-PBE was carried out for an optimized crystal structure of Co2B2Br.

Output
magnetic moment = 0.71 μB per formula unit
symmetry = I4/mmm (139)
formation energy (no corrections) = 553 meV per atom
D(E_F) = 3.09 states/eV per cell
calculated total energy = -26.47 eV for the cell shown
crystal system = tetragonal

Structure (extended XYZ):
```
5
Lattice="-1.8631 1.8631 3.8447 1.8631 -1.8631 3.8447 1.8631 1.8631 -3.8447" Properties=species:S:1:pos:R:3 pbc="T T T"
Co 1.8631 0.0000 1.9224
Co 0.0000 1.8631 1.9224
B 0.0000 0.0000 0.8872
B 0.0000 0.0000 6.8023
Br 0.0000 0.0000 3.8447
```



A plane-wave DFT calculation with GGA-PBE was carried out for an optimized crystal structure of CoB2Br2.

Output
magnetic moment = 0.00 μB per formula unit
symmetry = I4/mmm (139)
formation energy (no corrections) = 1292 meV per atom
D(E_F) = 6.00 states/eV per cell
calculated total energy = -17.35 eV for the cell shown
crystal system = tetragonal

Structure (extended XYZ):
```
5
Lattice="-1.4419 1.4419 11.0189 1.4419 -1.4419 11.0189 1.4419 1.4419 -11.0189" Properties=species:S:1:pos:R:3 pbc="T T T"
Co 0.0000 0.0000 0.0000
B 1.4419 0.0000 5.5095
B 0.0000 1.4419 5.5095
Br 0.0000 0.0000 9.3960
Br 0.0000 0.0000 12.6419
```



A plane-wave DFT calculation with GGA-PBE was carried out for an optimized crystal structure of CoB3Br.

Output
magnetic moment = 0.00 μB per formula unit
symmetry = Pm-3m (221)
formation energy (no corrections) = 1171 meV per atom
D(E_F) = 4.41 states/eV per cell
calculated total energy = -22.96 eV for the cell shown
crystal system = cubic

Structure (extended XYZ):
```
5
Lattice="3.9670 0.0000 0.0000 0.0000 3.9670 0.0000 0.0000 0.0000 3.9670" Properties=species:S:1:pos:R:3 pbc="T T T"
Co 0.0000 0.0000 0.0000
B 0.0000 0.0000 1.9835
B 0.0000 1.9835 0.0000
B 1.9835 0.0000 0.0000
Br 1.9835 1.9835 1.9835
```



A plane-wave DFT calculation with GGA-PBE was carried out for an optimized crystal structure of CoB2Br2.

Output
magnetic moment = 1.36 μB per formula unit
symmetry = P4/mbm (127)
formation energy (no corrections) = 1710 meV per atom
D(E_F) = 5.37 states/eV per cell
calculated total energy = -30.52 eV for the cell shown
crystal system = tetragonal

Structure (extended XYZ):
```
10
Lattice="7.1254 0.0000 0.0000 0.0000 7.1254 0.0000 0.0000 0.0000 3.1506" Properties=species:S:1:pos:R:3 pbc="T T T"
Co 0.0000 0.0000 0.0000
Co 3.5627 3.5627 0.0000
B 1.4431 2.1196 1.5753
B 2.1196 5.6823 1.5753
B 5.0058 1.4431 1.5753
B 5.6823 5.0058 1.5753
Br 1.1232 4.6859 0.0000
Br 2.4395 1.1232 0.0000
Br 4.6859 6.0021 0.0000
Br 6.0021 2.4395 0.0000
```



A plane-wave DFT calculation with GGA-PBE was carried out for an optimized crystal structure of CoB2Br8.

Output
magnetic moment = 0.95 μB per formula unit
symmetry = C2/m (12)
formation energy (no corrections) = -365 meV per atom
D(E_F) = 1.12 states/eV per cell
calculated total energy = -37.86 eV for the cell shown
crystal system = monoclinic

Structure (extended XYZ):
```
11
Lattice="5.7551 -5.1295 0.0000 5.7551 5.1295 0.0000 -0.1495 0.0000 6.0595" Properties=species:S:1:pos:R:3 pbc="T T T"
Co 0.0000 0.0000 0.0000
B 2.2641 0.0000 4.0253
B 9.0967 0.0000 2.0342
Br 4.4788 3.5549 1.2394
Br 2.2467 0.0000 2.0326
Br 6.8820 3.5549 4.8201
Br 4.1042 0.0000 4.7211
Br 7.2565 0.0000 1.3383
Br 4.4788 -3.5549 1.2394
Br 9.1140 0.0000 4.0269
Br 6.8820 -3.5549 4.8201
```



A plane-wave DFT calculation with GGA-PBE was carried out for an optimized crystal structure of Co2B2Br.

Output
magnetic moment = 0.00 μB per formula unit
symmetry = P4/mbm (127)
formation energy (no corrections) = 770 meV per atom
D(E_F) = 8.95 states/eV per cell
calculated total energy = -50.78 eV for the cell shown
crystal system = tetragonal

Structure (extended XYZ):
```
10
Lattice="6.2544 0.0000 0.0000 0.0000 6.2544 0.0000 0.0000 0.0000 2.8911" Properties=species:S:1:pos:R:3 pbc="T T T"
Co 0.8648 2.2624 0.0000
Co 2.2624 5.3896 0.0000
Co 3.9920 0.8648 0.0000
Co 5.3896 3.9920 0.0000
B 0.6058 3.7330 1.4456
B 2.5214 0.6058 1.4456
B 3.7330 5.6486 1.4456
B 5.6486 2.5214 1.4456
Br 0.0000 0.0000 1.4456
Br 3.1272 3.1272 1.4456
```



A plane-wave DFT calculation with GGA-PBE was carried out for an optimized crystal structure of Cs2CoBBr6.

Output
magnetic moment = 2.00 μB per formula unit
symmetry = I4/mmm (139)
formation energy (no corrections) = -573 meV per atom
D(E_F) = 17.40 states/eV per cell
calculated total energy = -31.25 eV for the cell shown
crystal system = tetragonal

Structure (extended XYZ):
```
10
Lattice="-3.6677 3.6677 5.8748 3.6677 -3.6677 5.8748 3.6677 3.6677 -5.8748" Properties=species:S:1:pos:R:3 pbc="T T T"
Cs 3.6677 0.0000 2.9374
Cs 0.0000 3.6677 2.9374
Co 0.0000 0.0000 0.0000
B 0.0000 0.0000 5.8748
Br 0.0000 0.0000 2.3547
Br 2.0700 2.0700 0.0000
Br 1.5977 -1.5977 5.8748
Br -1.5977 1.5977 5.8748
Br 1.5977 1.5977 5.8748
Br 0.0000 0.0000 9.3950
```



A plane-wave DFT calculation with GGA-PBE was carried out for an optimized crystal structure of CoBHBr2.

Output
magnetic moment = 1.48 μB per formula unit
symmetry = P4/mmm (123)
D(E_F) = 2.71 states/eV per cell
calculated total energy = -15.98 eV for the cell shown
crystal system = tetragonal

Structure (extended XYZ):
```
5
Lattice="4.9232 0.0000 0.0000 0.0000 4.9232 0.0000 0.0000 0.0000 3.3536" Properties=species:S:1:pos:R:3 pbc="T T T"
Co 0.0000 0.0000 0.0000
B 2.4616 2.4616 1.6768
H 0.0000 0.0000 1.6768
Br 0.0000 2.4616 0.0000
Br 2.4616 0.0000 0.0000
```



A plane-wave DFT calculation with GGA-PBE was carried out for an optimized crystal structure of Co2HgBBr.

Output
magnetic moment = 3.94 μB per formula unit
symmetry = P4/mmm (123)
formation energy (no corrections) = 2168 meV per atom
D(E_F) = 9.92 states/eV per cell
calculated total energy = -12.03 eV for the cell shown
crystal system = tetragonal

Structure (extended XYZ):
```
5
Lattice="4.8761 0.0000 0.0000 0.0000 4.8761 0.0000 0.0000 0.0000 6.1668" Properties=species:S:1:pos:R:3 pbc="T T T"
Co 0.0000 2.4380 0.0000
Co 2.4380 0.0000 0.0000
Hg 0.0000 0.0000 0.0000
B 2.4380 2.4380 3.0834
Br 0.0000 0.0000 3.0834
```



A plane-wave DFT calculation with GGA-PBE was carried out for an optimized crystal structure of CoBIrBr2.

Output
magnetic moment = 2.10 μB per formula unit
symmetry = P4/mmm (123)
formation energy (no corrections) = 1339 meV per atom
D(E_F) = 9.36 states/eV per cell
calculated total energy = -19.30 eV for the cell shown
crystal system = tetragonal

Structure (extended XYZ):
```
5
Lattice="4.7657 0.0000 0.0000 0.0000 4.7657 0.0000 0.0000 0.0000 4.0720" Properties=species:S:1:pos:R:3 pbc="T T T"
Co 0.0000 0.0000 0.0000
B 2.3829 2.3829 2.0360
Ir 2.3829 2.3829 0.0000
Br 0.0000 2.3829 2.0360
Br 2.3829 0.0000 2.0360
```